--- i ---
A plane-wave DFT calculation with GGA-PBE was carried out for crystalline KLiMo2 at its relaxed geometry.

POSCAR file:
```
KLiMo2
1.0
11.379 -0.006 -0.004
11.045 2.740 -0.004
11.045 1.347 2.387
K Li Mo
1 1 2
Cartesian
8.367 1.020 0.595
25.101 3.060 1.784
0.319 0.039 0.023
16.415 2.001 1.167
```

As for the space group: No. 166.

--- ii ---
A plane-wave DFT calculation with GGA-PBE was carried out for crystalline KLiMo2 at its relaxed geometry.

POSCAR file:
```
KLiMo2
1.0
-0.554 2.399 -0.886
-2.475 -1.692 -3.034
-6.351 0.370 4.974
K Li Mo
1 1 2
Cartesian
-3.116 0.181 2.440
-6.774 0.660 2.160
-0.096 0.006 0.075
-2.569 0.415 -1.134
```

As for the space group: No. 25.

--- iii ---
A plane-wave DFT calculation with GGA-PBE was carried out for crystalline KLiMo2 at its relaxed geometry.

POSCAR file:
```
KLiMo2
1.0
-3.156 0.235 1.357
-0.516 -3.348 -0.622
2.909 -1.762 7.072
K Li Mo
1 1 2
Cartesian
-1.109 -1.997 2.136
0.345 -2.878 5.672
2.574 -1.559 6.258
1.789 -1.084 4.350
```

As for the space group: No. 123.

It is iii that is the least stable of them.

--- i ---
A plane-wave DFT calculation with GGA-PBE was carried out for crystalline KLi2Mo at its relaxed geometry.

POSCAR file:
```
KLi2Mo
1.0
5.590 -0.132 0.051
-4.668 6.241 -0.053
0.008 1.131 2.377
K Li Mo
1 2 1
Cartesian
2.799 0.499 1.214
0.000 0.000 0.000
-2.330 3.686 1.162
0.461 3.054 -0.001
```

As for the space group: No. 65.

--- ii ---
A plane-wave DFT calculation with GGA-PBE was carried out for crystalline KLi2Mo at its relaxed geometry.

POSCAR file:
```
KLi2Mo
1.0
6.090 0.009 0.000
2.663 5.477 0.000
-4.376 -2.743 3.227
K Li Mo
1 2 1
Cartesian
3.045 0.004 1.613
0.000 0.000 0.000
1.332 2.738 1.613
4.376 2.743 0.000
```

As for the space group: No. 119.

--- iii ---
A plane-wave DFT calculation with GGA-PBE was carried out for crystalline KLi2Mo at its relaxed geometry.

POSCAR file:
```
KLi2Mo
1.0
-6.815 1.410 4.364
2.056 -6.047 5.165
-0.697 -0.111 6.679
Mo K Li
2 2 4
Cartesian
0.000 0.000 0.000
-4.946 -0.510 7.904
-2.379 -2.319 4.765
-0.510 -4.238 8.305
-4.410 0.146 5.192
0.492 -3.679 5.294
-2.377 -1.615 8.406
-4.616 -4.347 13.524
```

As for the space group: No. 122.

It is iii that is the least stable of them.

--- i ---
A plane-wave DFT calculation with GGA-PBE was carried out for crystalline KLi2Mo at its relaxed geometry.

POSCAR file:
```
KLi2Mo
1.0
3.422 0.000 0.000
0.000 5.803 0.000
0.000 0.000 5.330
K Li Mo
1 2 1
Cartesian
0.000 2.901 2.665
0.000 0.000 0.000
1.711 2.901 0.000
1.711 0.000 2.665
```

As for the space group: No. 47.

--- ii ---
A plane-wave DFT calculation with GGA-PBE was carried out for crystalline KLi2Mo at its relaxed geometry.

POSCAR file:
```
KLi2Mo
1.0
-0.482 2.714 0.320
-1.147 -1.081 2.284
9.662 1.082 5.366
K Li Mo
1 2 1
Cartesian
6.282 1.611 5.243
0.365 0.041 0.202
1.742 1.103 2.722
4.476 0.501 2.486
```

As for the space group: No. 35.

--- iii ---
A plane-wave DFT calculation with GGA-PBE was carried out for crystalline KLi2Mo at its relaxed geometry.

POSCAR file:
```
KLi2Mo
1.0
6.524 -0.024 -0.035
3.536 5.483 0.035
-4.096 -4.450 2.446
K Li Mo
1 2 1
Cartesian
2.157 1.839 1.240
9.842 5.340 0.000
3.724 -0.875 1.205
5.331 2.893 0.000
```

As for the space group: No. 44.

It is i that is the least stable of them.

--- i ---
A plane-wave DFT calculation with GGA-PBE was carried out for crystalline KLi2Mo at its relaxed geometry.

POSCAR file:
```
KLi2Mo
1.0
2.638 0.000 0.000
0.000 5.548 0.000
0.000 0.000 5.548
K Li Mo
1 2 1
Cartesian
1.319 0.000 2.774
0.000 0.000 0.000
0.000 2.774 2.774
1.319 2.774 0.000
```

As for the space group: No. 123.

--- ii ---
A plane-wave DFT calculation with GGA-PBE was carried out for crystalline KLi2Mo at its relaxed geometry.

POSCAR file:
```
KLi2Mo
1.0
-0.020 -1.626 2.313
1.267 -2.073 -1.447
9.497 3.856 2.793
K Li Mo
1 2 1
Cartesian
7.747 1.042 2.528
0.526 0.214 0.155
4.223 1.714 1.242
2.998 -0.886 1.132
```

As for the space group: No. 123.

--- iii ---
A plane-wave DFT calculation with GGA-PBE was carried out for crystalline KLi2Mo at its relaxed geometry.

POSCAR file:
```
KLi2Mo
1.0
-7.069 -2.064 9.035
-6.191 -4.844 8.606
-4.580 -3.032 10.281
K Li Mo
1 2 1
Cartesian
-13.381 -7.455 20.942
-17.580 -9.795 27.514
-9.181 -5.116 14.369
-4.460 -2.485 6.981
```

As for the space group: No. 166.

It is i that is the least stable of them.

--- i ---
A plane-wave DFT calculation with GGA-PBE was carried out for crystalline KLi2Mo at its relaxed geometry.

POSCAR file:
```
KLi2Mo
1.0
-2.612 2.850 3.797
-4.494 1.170 2.792
1.364 -4.263 4.571
K Li Mo
1 2 1
Cartesian
-1.450 -0.020 2.749
1.279 -4.076 4.417
-4.360 -0.050 8.250
-2.719 -0.480 5.896
```

As for the space group: No. 8.

--- ii ---
A plane-wave DFT calculation with GGA-PBE was carried out for crystalline KLi2Mo at its relaxed geometry.

POSCAR file:
```
KLi2Mo
1.0
4.966 0.000 0.000
0.000 2.678 0.062
0.000 0.881 6.976
K Li Mo
1 2 1
Cartesian
2.483 2.891 5.259
0.000 0.402 0.451
2.483 0.363 1.953
0.000 1.682 2.894
```

As for the space group: No. 6.

It is i that is the least stable of them.

--- i ---
A plane-wave DFT calculation with GGA-PBE was carried out for crystalline KLi2Mo at its relaxed geometry.

POSCAR file:
```
KLi2Mo
1.0
0.000 3.775 3.775
3.775 0.000 3.775
3.775 3.775 0.000
Mo K Li
1 1 2
Cartesian
3.775 3.775 3.775
0.000 0.000 0.000
1.887 1.887 1.887
5.662 5.662 5.662
```

As for the space group: No. 225.

--- ii ---
A plane-wave DFT calculation with GGA-PBE was carried out for crystalline KLi2Mo at its relaxed geometry.

POSCAR file:
```
KLi2Mo
1.0
-3.542 -4.121 0.040
1.790 -5.124 -0.267
-0.358 -3.233 4.353
K Li Mo
1 2 1
Cartesian
-1.055 -6.239 2.063
0.000 0.000 0.000
-0.528 -3.120 1.032
-1.583 -9.359 3.095
```

As for the space group: No. 216.

--- iii ---
A plane-wave DFT calculation with GGA-PBE was carried out for crystalline KLi2Mo at its relaxed geometry.

POSCAR file:
```
KLi2Mo
1.0
2.654 0.000 0.000
0.000 4.609 0.000
0.000 0.000 7.422
K Li Mo
1 2 1
Cartesian
1.327 2.305 5.566
0.000 0.000 0.628
0.000 0.000 3.083
1.327 2.305 1.855
```

As for the space group: No. 47.

--- iv ---
A plane-wave DFT calculation with GGA-PBE was carried out for crystalline KLi2Mo at its relaxed geometry.

POSCAR file:
```
KLi2Mo
1.0
-5.786 -2.450 -2.591
-0.084 -6.167 -2.855
0.460 4.521 5.054
K Li Mo
1 2 1
Cartesian
-1.279 -2.977 -0.262
-5.637 -8.275 -5.230
-3.167 -4.650 -2.939
-4.130 -1.119 -0.130
```

As for the space group: No. 71.

It is ii that is the least stable of them.

--- i ---
A plane-wave DFT calculation with GGA-PBE was carried out for crystalline KLi2Mo at its relaxed geometry.

POSCAR file:
```
KLi2Mo
1.0
-5.084 0.250 0.043
-4.425 -0.897 2.350
0.042 6.425 3.182
K Li Mo
1 2 1
Cartesian
-2.367 1.444 1.394
-0.060 5.862 2.931
-4.631 3.452 3.039
-7.100 4.333 4.181
```

As for the space group: No. 12.

--- ii ---
A plane-wave DFT calculation with GGA-PBE was carried out for crystalline KLi2Mo at its relaxed geometry.

POSCAR file:
```
KLi2Mo
1.0
2.815 0.000 0.000
0.000 2.815 0.000
0.000 0.000 10.449
K Li Mo
1 2 1
Cartesian
1.407 1.407 7.677
0.000 0.000 0.538
1.407 1.407 2.733
0.000 0.000 4.725
```

As for the space group: No. 99.

--- iii ---
A plane-wave DFT calculation with GGA-PBE was carried out for crystalline KLi2Mo at its relaxed geometry.

POSCAR file:
```
KLi2Mo
1.0
-0.558 0.138 -2.599
-4.891 -0.789 1.008
-0.942 6.543 0.550
K Li Mo
1 2 1
Cartesian
-3.435 4.613 -0.380
-0.031 0.217 0.018
-2.991 1.528 -0.639
-0.404 2.806 0.236
```

As for the space group: No. 25.

It is iii that is the least stable of them.

--- i ---
A plane-wave DFT calculation with GGA-PBE was carried out for crystalline KLiMo3 at its relaxed geometry.

POSCAR file:
```
KLiMo3
1.0
-2.589 -0.393 3.705
0.141 -4.518 -0.380
3.723 -0.102 2.591
Mo K Li
3 1 1
Cartesian
0.071 -2.259 -0.190
1.861 -0.051 1.295
-1.294 -0.196 1.852
0.000 0.000 0.000
0.638 -2.506 2.957
```

As for the space group: No. 221.

--- ii ---
A plane-wave DFT calculation with GGA-PBE was carried out for crystalline KLiMo3 at its relaxed geometry.

POSCAR file:
```
KLiMo3
1.0
4.531 0.000 0.000
0.000 4.531 0.000
0.000 0.000 4.531
Mo K Li
3 1 1
Cartesian
0.000 2.265 0.000
0.000 0.000 2.265
2.265 0.000 0.000
2.265 2.265 2.265
0.000 0.000 0.000
```

As for the space group: No. 221.

It is i that is the least stable of them.

--- i ---
A plane-wave DFT calculation with GGA-PBE was carried out for crystalline KLi3Mo at its relaxed geometry.

POSCAR file:
```
KLi3Mo
1.0
5.043 0.000 0.000
0.000 5.043 0.000
0.000 0.000 5.043
Mo K Li
1 1 3
Cartesian
2.521 2.521 2.521
0.000 0.000 0.000
0.000 2.521 0.000
0.000 0.000 2.521
2.521 0.000 0.000
```

As for the space group: No. 221.

--- ii ---
A plane-wave DFT calculation with GGA-PBE was carried out for crystalline KLi3Mo at its relaxed geometry.

POSCAR file:
```
KLi3Mo
1.0
5.469 0.000 0.000
0.000 5.469 0.000
0.000 0.000 5.469
Mo K Li
1 1 3
Cartesian
0.000 0.000 0.000
2.735 2.735 2.735
0.000 2.735 0.000
0.000 0.000 2.735
2.735 0.000 0.000
```

As for the space group: No. 221.

It is i that is the least stable of them.

--- i ---
A plane-wave DFT calculation with GGA-PBE was carried out for crystalline KLi3N at its relaxed geometry.

POSCAR file:
```
KLi3N
1.0
-2.124 4.235 0.231
-2.857 -1.620 3.423
3.135 1.394 3.276
K Li N
1 3 1
Cartesian
0.000 0.000 0.000
-1.428 -0.810 1.711
1.567 0.697 1.638
-1.062 2.117 0.115
-0.923 2.004 3.465
```

As for the space group: No. 221.

--- ii ---
A plane-wave DFT calculation with GGA-PBE was carried out for crystalline KLi3N at its relaxed geometry.

POSCAR file:
```
KLi3N
1.0
-0.034 3.162 2.950
2.751 -2.260 2.455
3.337 1.895 -1.994
K Li N
1 3 1
Cartesian
3.027 1.399 1.705
1.375 -1.130 1.227
1.668 0.948 -0.997
-0.017 1.581 1.475
0.000 0.000 0.000
```

As for the space group: No. 221.

It is i that is the least stable of them.

--- i ---
A plane-wave DFT calculation with GGA-PBE was carried out for crystalline K2LiN2 at its relaxed geometry.

POSCAR file:
```
K2LiN2
1.0
-0.661 4.250 2.666
0.469 -2.625 4.301
4.538 1.562 3.436
K Li N
2 1 2
Cartesian
1.391 1.053 3.468
2.956 2.134 6.935
0.000 0.000 0.000
1.891 3.312 4.793
2.456 -0.125 5.610
```

As for the space group: No. 139.

--- ii ---
A plane-wave DFT calculation with GGA-PBE was carried out for crystalline K2LiN2 at its relaxed geometry.

POSCAR file:
```
K2LiN2
1.0
7.722 0.000 0.000
0.000 7.722 0.000
0.000 0.000 3.341
K Li N
4 2 4
Cartesian
2.819 6.679 0.000
6.679 4.903 0.000
4.903 1.042 0.000
1.042 2.819 0.000
0.000 0.000 0.000
3.861 3.861 0.000
1.322 5.182 1.670
5.182 6.400 1.670
6.400 2.539 1.670
2.539 1.322 1.670
```

As for the space group: No. 127.

It is i that is the least stable of them.